VASP calculation (PBE) on crystalline Ac3Tb4Pb4 at its relaxed geometry.

```
Ac3Tb4Pb4
1.0
-0.617 2.952 4.173
-4.299 -0.685 -0.151
4.301 -14.911 8.008
Pb Ac Tb
4 3 4
direct
0.186 0.686 0.372 Pb
0.814 0.314 0.628 Pb
0.452 0.452 0.905 Pb
0.548 0.548 0.095 Pb
0.354 0.854 0.709 Ac
0.646 0.146 0.291 Ac
0.000 0.000 0.000 Ac
0.260 0.260 0.519 Tb
0.740 0.740 0.481 Tb
0.095 0.595 0.190 Tb
0.905 0.405 0.810 Tb
```

Output
Formation enthalpy at 0 K: -0.306 eV per atom
Total magnetic moment: 0.0 μB per cell



VASP calculation (PBE) on crystalline AcTb2Pb at its relaxed geometry.

```
AcTb2Pb
1.0
3.667 0.000 0.000
1.834 3.176 0.000
1.834 1.059 12.320
Tb Pb Ac
2 1 1
direct
0.086 0.086 0.743 Tb
0.914 0.914 0.257 Tb
0.000 0.000 0.000 Pb
0.500 0.500 0.500 Ac
```

Output
E above lowest polymorph: 30.52 kJ/mol of atoms
Formation enthalpy at 0 K: 0.084 eV per atom
Total magnetic moment: 0.0 μB per cell



VASP calculation (PBE) on crystalline Ac3TbPb4 at its relaxed geometry.

```
Ac3TbPb4
1.0
5.808 0.000 0.000
0.000 9.096 0.000
0.000 0.000 11.150
Pb Ac Tb
8 6 2
direct
0.065 0.506 0.500 Pb
0.565 0.494 0.000 Pb
0.564 0.871 0.267 Pb
0.065 0.924 0.000 Pb
0.064 0.129 0.233 Pb
0.565 0.076 0.500 Pb
0.064 0.129 0.767 Pb
0.564 0.871 0.733 Pb
0.565 0.074 0.000 Ac
0.564 0.340 0.296 Ac
0.065 0.926 0.500 Ac
0.064 0.660 0.796 Ac
0.564 0.340 0.704 Ac
0.064 0.660 0.204 Ac
0.065 0.326 0.000 Tb
0.565 0.674 0.500 Tb
```

Output
E above lowest polymorph: 13.82 kJ/mol of atoms
Formation enthalpy at 0 K: -0.313 eV per atom
Total magnetic moment: 0.0 μB per cell



VASP calculation (PBE) on crystalline AcTb2Pb at its relaxed geometry.

```
AcTb2Pb
1.0
-0.364 -3.172 -3.805
-2.615 -3.229 2.942
-4.352 2.219 -1.434
Tb Pb Ac
2 1 1
direct
0.000 0.000 0.500 Tb
0.000 0.500 0.000 Tb
0.500 0.000 0.000 Pb
0.500 0.500 0.500 Ac
```

Output
E above lowest polymorph: 0.00 kJ/mol of atoms
Formation enthalpy at 0 K: -0.232 eV per atom
Total magnetic moment: 0.0 μB per cell